*A*
The following is a DFT calculation (GGA-PBE) of a relaxed structure of Tl2MoPt.

Computed properties:
Space-group type ... I4/mmm
Fermi-level density of states ... 3.3 states/eV/f.u.

Cell lengths 4.563, 4.563, 7.638 Å; angles 90.00, 90.00, 90.00 degrees
Sites, in units of the cell vectors:
Tl 0.000 0.500 0.250
Tl 0.000 0.500 0.750
Tl 0.500 0.000 0.250
Tl 0.500 0.000 0.750
Mo 0.000 0.000 0.000
Mo 0.500 0.500 0.500
Pt 0.000 0.000 0.500
Pt 0.500 0.500 0.000

***

*B*
The following is a DFT calculation (GGA-PBE) of a relaxed structure of Tl2MoPt.

Computed properties:
Space-group type ... Immm
Fermi-level density of states ... 2.4 states/eV/f.u.

Cell lengths 3.095, 5.397, 9.616 Å; angles 90.00, 90.00, 90.00 degrees
Sites, in units of the cell vectors:
Tl 0.000 0.000 0.243
Tl 0.000 0.000 0.757
Tl 0.500 0.500 0.257
Tl 0.500 0.500 0.743
Mo 0.000 0.500 0.000
Mo 0.500 0.000 0.500
Pt 0.000 0.500 0.500
Pt 0.500 0.000 0.000

***

*C*
The following is a DFT calculation (GGA-PBE) of a relaxed structure of Tl2MoPt.

Computed properties:
Space-group type ... P4/mmm
Fermi-level density of states ... 2.4 states/eV/f.u.

Cell lengths 4.575, 4.575, 3.682 Å; angles 90.00, 90.00, 90.00 degrees
Sites, in units of the cell vectors:
Tl 0.000 0.500 0.000
Tl 0.500 0.000 0.000
Mo 0.000 0.000 0.500
Pt 0.500 0.500 0.500

***

*D*
The following is a DFT calculation (GGA-PBE) of a relaxed structure of Tl2MoPt.

Computed properties:
Space-group type ... Imm2
Fermi-level density of states ... 2.3 states/eV/f.u.

Cell lengths 2.990, 4.905, 11.594 Å; angles 90.00, 90.00, 90.00 degrees
Sites, in units of the cell vectors:
Tl 0.000 0.000 0.000
Tl 0.000 0.500 0.211
Tl 0.500 0.000 0.711
Tl 0.500 0.500 0.500
Mo 0.000 0.500 0.731
Mo 0.500 0.000 0.231
Pt 0.000 0.000 0.420
Pt 0.500 0.500 0.920

***

The calculated energies rank the structures as follows, beginning with the most stable: *D*, *C*, *B*, *A*.

***

*A*
The following is a DFT calculation (GGA-PBE) of a relaxed structure of Tl2MoPt.

Computed properties:
Space-group type ... Fm-3m
Fermi-level density of states ... 3.5 states/eV/f.u.

Cell lengths 6.794, 6.794, 6.794 Å; angles 90.00, 90.00, 90.00 degrees
Sites, in units of the cell vectors:
Tl 0.250 0.250 0.250
Tl 0.250 0.250 0.750
Tl 0.250 0.750 0.250
Tl 0.250 0.750 0.750
Tl 0.750 0.250 0.250
Tl 0.750 0.250 0.750
Tl 0.750 0.750 0.250
Tl 0.750 0.750 0.750
Mo 0.000 0.000 0.000
Mo 0.000 0.500 0.500
Mo 0.500 0.000 0.500
Mo 0.500 0.500 0.000
Pt 0.000 0.000 0.500
Pt 0.000 0.500 0.000
Pt 0.500 0.000 0.000
Pt 0.500 0.500 0.500

***

*B*
The following is a DFT calculation (GGA-PBE) of a relaxed structure of Tl2MoPt.

Computed properties:
Space-group type ... F-43m
Fermi-level density of states ... 2.6 states/eV/f.u.

Cell lengths 6.902, 6.902, 6.902 Å; angles 90.00, 90.00, 90.00 degrees
Sites, in units of the cell vectors:
Tl 0.000 0.000 0.000
Tl 0.000 0.500 0.500
Tl 0.250 0.250 0.250
Tl 0.250 0.750 0.750
Tl 0.500 0.000 0.500
Tl 0.500 0.500 0.000
Tl 0.750 0.250 0.750
Tl 0.750 0.750 0.250
Mo 0.250 0.250 0.750
Mo 0.250 0.750 0.250
Mo 0.750 0.250 0.250
Mo 0.750 0.750 0.750
Pt 0.000 0.000 0.500
Pt 0.000 0.500 0.000
Pt 0.500 0.000 0.000
Pt 0.500 0.500 0.500

***

*C*
The following is a DFT calculation (GGA-PBE) of a relaxed structure of Tl2MoPt.

Computed properties:
Space-group type ... P4mm
Fermi-level density of states ... 3.3 states/eV/f.u.

Cell lengths 3.073, 3.073, 9.068 Å; angles 90.00, 90.00, 90.00 degrees
Sites, in units of the cell vectors:
Tl 0.000 0.000 0.000
Tl 0.500 0.500 0.323
Mo 0.000 0.000 0.567
Pt 0.500 0.500 0.738

***

*D*
The following is a DFT calculation (GGA-PBE) of a relaxed structure of Tl2MoPt.

Computed properties:
Space-group type ... R-3m
Fermi-level density of states ... 2.6 states/eV/f.u.

Cell lengths 3.139, 3.139, 27.541 Å; angles 90.00, 90.00, 120.00 degrees
Sites, in units of the cell vectors:
Tl 0.000 0.000 0.248
Tl 0.000 0.000 0.752
Tl 0.333 0.667 0.418
Tl 0.333 0.667 0.915
Tl 0.667 0.333 0.085
Tl 0.667 0.333 0.582
Mo 0.000 0.000 0.000
Mo 0.333 0.667 0.667
Mo 0.667 0.333 0.333
Pt 0.000 0.000 0.500
Pt 0.333 0.667 0.167
Pt 0.667 0.333 0.833

***

The calculated energies rank the structures as follows, beginning with the most stable: *C*, *D*, *A*, *B*.

***

*A*
The following is a DFT calculation (GGA-PBE) of a relaxed structure of Tl2MoPt.

Computed properties:
Space-group type ... Pmmm
Fermi-level density of states ... 3.1 states/eV/f.u.

Cell lengths 3.071, 3.782, 6.670 Å; angles 90.00, 90.00, 90.00 degrees
Sites, in units of the cell vectors:
Tl 0.000 0.000 0.248
Tl 0.000 0.000 0.752
Mo 0.500 0.500 0.500
Pt 0.500 0.500 0.000

***

*B*
The following is a DFT calculation (GGA-PBE) of a relaxed structure of Tl2MoPt.

Computed properties:
Space-group type ... I-42d
Fermi-level density of states ... 1.9 states/eV/f.u.

Cell lengths 7.659, 7.659, 5.935 Å; angles 90.00, 90.00, 90.00 degrees
Sites, in units of the cell vectors:
Tl 0.238 0.250 0.125
Tl 0.250 0.738 0.375
Tl 0.250 0.762 0.875
Tl 0.262 0.250 0.625
Tl 0.738 0.750 0.625
Tl 0.750 0.238 0.875
Tl 0.750 0.262 0.375
Tl 0.762 0.750 0.125
Mo 0.000 0.000 0.500
Mo 0.000 0.500 0.750
Mo 0.500 0.000 0.250
Mo 0.500 0.500 0.000
Pt 0.000 0.000 0.000
Pt 0.000 0.500 0.250
Pt 0.500 0.000 0.750
Pt 0.500 0.500 0.500

***

The calculated energies rank the structures as follows, beginning with the most stable: *A*, *B*.

***

*A*
The following is a DFT calculation (GGA-PBE) of a relaxed structure of TlMoPt2.

Computed properties:
Space-group type ... Pmmm
Fermi-level density of states ... 3.9 states/eV/f.u.

Cell lengths 4.013, 4.055, 4.262 Å; angles 90.00, 90.00, 90.00 degrees
Sites, in units of the cell vectors:
Tl 0.000 0.000 0.000
Mo 0.500 0.500 0.000
Pt 0.000 0.500 0.500
Pt 0.500 0.000 0.500

***

*B*
The following is a DFT calculation (GGA-PBE) of a relaxed structure of TlMoPt2.

Computed properties:
Space-group type ... I-4m2
Fermi-level density of states ... 2.7 states/eV/f.u.

Cell lengths 4.194, 4.194, 7.837 Å; angles 90.00, 90.00, 90.00 degrees
Sites, in units of the cell vectors:
Tl 0.000 0.000 0.000
Tl 0.500 0.500 0.500
Mo 0.000 0.500 0.750
Mo 0.500 0.000 0.250
Pt 0.000 0.000 0.500
Pt 0.000 0.500 0.250
Pt 0.500 0.000 0.750
Pt 0.500 0.500 0.000

***

The calculated energies rank the structures as follows, beginning with the most stable: *B*, *A*.

***

*A*
The following is a DFT calculation (GGA-PBE) of a relaxed structure of TlMoPt2.

Computed properties:
Space-group type ... R-3m
Fermi-level density of states ... 3.1 states/eV/f.u.

Cell lengths 2.930, 2.930, 28.655 Å; angles 90.00, 90.00, 120.00 degrees
Sites, in units of the cell vectors:
Tl 0.000 0.000 0.000
Tl 0.333 0.667 0.667
Tl 0.667 0.333 0.333
Mo 0.000 0.000 0.500
Mo 0.333 0.667 0.167
Mo 0.667 0.333 0.833
Pt 0.000 0.000 0.243
Pt 0.000 0.000 0.757
Pt 0.333 0.667 0.424
Pt 0.333 0.667 0.909
Pt 0.667 0.333 0.091
Pt 0.667 0.333 0.576

***

*B*
The following is a DFT calculation (GGA-PBE) of a relaxed structure of TlMoPt2.

Computed properties:
Space-group type ... P4/mmm
Fermi-level density of states ... 4.8 states/eV/f.u.

Cell lengths 2.896, 2.896, 8.507 Å; angles 90.00, 90.00, 90.00 degrees
Sites, in units of the cell vectors:
Tl 0.000 0.000 0.000
Mo 0.000 0.000 0.500
Pt 0.500 0.500 0.284
Pt 0.500 0.500 0.716

***

*C*
The following is a DFT calculation (GGA-PBE) of a relaxed structure of TlMoPt2.

Computed properties:
Space-group type ... P4/mmm
Fermi-level density of states ... 3.5 states/eV/f.u.

Cell lengths 4.983, 4.983, 2.831 Å; angles 90.00, 90.00, 90.00 degrees
Sites, in units of the cell vectors:
Tl 0.000 0.000 0.000
Mo 0.500 0.500 0.000
Pt 0.000 0.500 0.500
Pt 0.500 0.000 0.500

***

*D*
The following is a DFT calculation (GGA-PBE) of a relaxed structure of TlMoPt2.

Computed properties:
Space-group type ... I4/mmm
Fermi-level density of states ... 3.8 states/eV/f.u.

Cell lengths 4.120, 4.120, 8.138 Å; angles 90.00, 90.00, 90.00 degrees
Sites, in units of the cell vectors:
Tl 0.000 0.000 0.000
Tl 0.500 0.500 0.500
Mo 0.000 0.000 0.500
Mo 0.500 0.500 0.000
Pt 0.000 0.500 0.250
Pt 0.000 0.500 0.750
Pt 0.500 0.000 0.250
Pt 0.500 0.000 0.750

***

The calculated energies rank the structures as follows, beginning with the most stable: *B*, *A*, *C*, *D*.

***

*A*
The following is a DFT calculation (GGA-PBE) of a relaxed structure of TlMoPt.

Computed properties:
Space-group type ... F-43m
Fermi-level density of states ... 3.1 states/eV/f.u.

Cell lengths 6.287, 6.287, 6.287 Å; angles 90.00, 90.00, 90.00 degrees
Sites, in units of the cell vectors:
Tl 0.000 0.000 0.000
Tl 0.000 0.500 0.500
Tl 0.500 0.000 0.500
Tl 0.500 0.500 0.000
Mo 0.000 0.000 0.500
Mo 0.000 0.500 0.000
Mo 0.500 0.000 0.000
Mo 0.500 0.500 0.500
Pt 0.250 0.250 0.250
Pt 0.250 0.750 0.750
Pt 0.750 0.250 0.750
Pt 0.750 0.750 0.250

***

*B*
The following is a DFT calculation (GGA-PBE) of a relaxed structure of TlMoPt.

Computed properties:
Space-group type ... P-6m2
Fermi-level density of states ... 3.9 states/eV/f.u.

Cell lengths 4.684, 4.684, 2.842 Å; angles 90.00, 90.00, 120.00 degrees
Sites, in units of the cell vectors:
Tl 0.000 0.000 0.000
Mo 0.667 0.333 0.500
Pt 0.333 0.667 0.000

***

*C*
The following is a DFT calculation (GGA-PBE) of a relaxed structure of TlMoPt.

Computed properties:
Space-group type ... P3m1
Fermi-level density of states ... 3.3 states/eV/f.u.

Cell lengths 2.986, 2.986, 7.114 Å; angles 90.00, 90.00, 120.00 degrees
Sites, in units of the cell vectors:
Tl 0.000 0.000 0.000
Mo 0.333 0.667 0.354
Pt 0.667 0.333 0.646

***

*D*
The following is a DFT calculation (GGA-PBE) of a relaxed structure of TlMoPt.

Computed properties:
Space-group type ... I4mm
Fermi-level density of states ... 2.5 states/eV/f.u.

Cell lengths 2.995, 2.995, 12.298 Å; angles 90.00, 90.00, 90.00 degrees
Sites, in units of the cell vectors:
Tl 0.000 0.000 0.000
Tl 0.500 0.500 0.500
Mo 0.000 0.000 0.680
Mo 0.500 0.500 0.180
Pt 0.000 0.000 0.314
Pt 0.500 0.500 0.814

***

The calculated energies rank the structures as follows, beginning with the most stable: *D*, *C*, *A*, *B*.